(1)
A plane-wave DFT calculation with PBE was carried out for a relaxed structure of Sc2Hg2Au.

Calculated values
Crystal system: orthorhombic
E, eV per atom: -3.624
Total magnetic moment, μB/cell: 0.0
ΔH_f (0 K), meV per atom: -315.1

a b c (Å): 6.0977 13.5220 5.5021
angles (deg): 90.00 90.00 90.00
Space group Ibam (No. 72)
Inequivalent atoms, fractional coordinates:
Sc 0.1782 0.1674 0.0000
Hg 0.1474 0.3813 0.0000
Au 0.0000 0.0000 0.2500

***

(2)
A plane-wave DFT calculation with PBE was carried out for a relaxed structure of PaCuRh2O8.

Calculated values
ΔE_f (raw), eV per atom: -1.10
Crystal system: tetragonal
E, eV per atom: -6.761
Total magnetic moment, μB/cell: 0.0

a b c (Å): 6.8742 6.8742 6.7738
angles (deg): 90.00 90.00 90.00
Space group I-4m2 (No. 119)
Inequivalent atoms, fractional coordinates:
Pa 0.0000 0.0000 0.0000
Cu 0.0000 0.5000 0.7500
Rh 0.0000 0.0000 0.5000
Rh 0.0000 0.5000 0.2500
O 0.0000 0.1871 0.7067
O 0.0000 0.3167 0.0467